(1)
ScSeN2O: relaxed, GGA-PBEsol.

Cell and atoms, written as POSCAR:
```
ScSeN2O
1.0
4.2412 0.0000 0.0000
0.0000 4.2412 0.0000
0.0000 0.0000 3.8723
Sc Se N O
1 1 2 1
direct
0.0000 0.0000 0.0000
0.5000 0.5000 0.5000
0.0000 0.5000 0.0000
0.5000 0.0000 0.0000
0.0000 0.0000 0.5000
```

Computed properties:
Energy (eV/atom): -6.005
Theoretical density (g/cm3): 4.003
Crystal system: tetragonal

(2)
MgZnCo4: relaxed, GGA-PBEsol.

Cell and atoms, written as POSCAR:
```
MgZnCo4
1.0
0.0000 3.3269 3.3269
3.3269 0.0000 3.3269
3.3269 3.3269 0.0000
Mg Zn Co
1 1 4
direct
0.0000 0.0000 0.0000
0.2500 0.2500 0.2500
0.1259 0.6247 0.6247
0.6247 0.1259 0.6247
0.6247 0.6247 0.1259
0.6247 0.6247 0.6247
```

Computed properties:
Theoretical density (g/cm3): 7.338
Formation energy (meV/atom): 69
Crystal system: cubic

(3)
NaScTc3: relaxed, GGA-PBEsol.

Cell and atoms, written as POSCAR:
```
NaScTc3
1.0
4.4819 0.0000 0.0000
0.0000 4.4819 0.0000
0.0000 0.0000 4.4819
Na Sc Tc
1 1 3
direct
0.0000 0.0000 0.0000
0.5000 0.5000 0.5000
0.0000 0.0000 0.5000
0.0000 0.5000 0.0000
0.5000 0.0000 0.0000
```

Computed properties:
Theoretical density (g/cm3): 6.676
Formation energy (meV/atom): 2254
Crystal system: cubic

(4)
ZnAuCl2: relaxed, GGA-PBEsol.

Cell and atoms, written as POSCAR:
```
ZnAuCl2
1.0
0.0000 3.3015 3.3015
3.3015 0.0000 3.3015
3.3015 3.3015 0.0000
Zn Au Cl
1 1 2
direct
0.0000 0.0000 0.0000
0.7500 0.7500 0.7500
0.2500 0.2500 0.2500
0.5000 0.5000 0.5000
```

Computed properties:
Theoretical density (g/cm3): 7.689
ΔE to the lowest computed polymorph (kJ per mole of atoms): 24.8
Crystal system: cubic

(5)
AsN: relaxed, GGA-PBEsol.

Cell and atoms, written as POSCAR:
```
AsN
1.0
3.0885 -1.7796 0.0000
3.0885 1.7796 0.0000
-2.9830 0.0000 8.8903
As N
2 2
direct
0.1287 0.1287 0.4217
0.8713 0.8713 0.5783
0.4250 0.4250 0.9479
0.5750 0.5750 0.0521
```

Computed properties:
Energy (eV/atom): -6.761
Theoretical density (g/cm3): 3.022
Crystal system: monoclinic

(6)
NaLi3Y: relaxed, GGA-PBEsol.

Cell and atoms, written as POSCAR:
```
NaLi3Y
1.0
5.7786 0.0000 0.0000
0.0000 5.7786 0.0000
0.0000 0.0000 5.7786
Na Li Y
1 3 1
direct
0.0000 0.0000 0.0000
0.0000 0.5000 0.5000
0.5000 0.0000 0.5000
0.5000 0.5000 0.0000
0.5000 0.5000 0.5000
```

Computed properties:
Theoretical density (g/cm3): 1.142
Formation energy (meV/atom): 871
Crystal system: cubic

(7)
SrOs2Br: relaxed, GGA-PBEsol.

Cell and atoms, written as POSCAR:
```
SrOs2Br
1.0
2.8337 0.0000 0.0000
0.0000 5.2564 0.0000
0.0000 0.0000 5.9230
Sr Os Br
1 2 1
direct
0.0000 0.0000 0.0000
0.5000 0.5000 0.1879
0.5000 0.5000 0.8121
0.0000 0.0000 0.5000
```

Computed properties:
Theoretical density (g/cm3): 10.314
ΔE to the lowest computed polymorph (kJ per mole of atoms): 25.8
Crystal system: orthorhombic

(8)
BaCa2Ag2: relaxed, GGA-PBEsol.

Cell and atoms, written as POSCAR:
```
BaCa2Ag2
1.0
-2.4389 2.4389 6.6733
2.4389 -2.4389 6.6733
2.4389 2.4389 -6.6733
Ba Ca Ag
1 2 2
direct
0.0000 0.0000 0.0000
0.2500 0.7500 0.5000
0.7500 0.2500 0.5000
0.3959 0.3959 0.0000
0.6041 0.6041 0.0000
```

Computed properties:
Theoretical density (g/cm3): 4.531
ΔE to the lowest computed polymorph (kJ per mole of atoms): 1.0
Formation energy (meV/atom): -176
Crystal system: tetragonal